This record from the Alexandria database describes a relaxed structure of CoRhCl2. The functional is PBE-GGA.

a b c (Å): 2.988 2.988 8.062
angles (deg): 90.00 90.00 90.00
Fractional coordinates of all 4 atoms:
1 Co 0.000 0.000 0.000
2 Rh 0.500 0.500 0.198
3 Cl 0.000 0.000 0.403
4 Cl 0.500 0.500 0.823

Calculated values
Its formation energy (no corrections) is 0.1344 eV/atom.